Computed, not measured: a relaxed InSiIr3 crystal at the PBE level of DFT.

## Properties
Electronic total energy in eV/f.u.: -23.7
Volume in A^3/atom: 22.9

Cell lengths 4.855, 4.855, 4.855 Å; angles 90.00, 90.00, 90.00 degrees
Site moments in Bohr magnetons follow the coordinates.
Fractional positions:
In 0.000 0.000 0.000  -0.01
Ir 0.000 0.000 0.500  0.35
Ir 0.000 0.500 0.000  0.37
Ir 0.500 0.000 0.000  0.24
Si 0.500 0.500 0.500  0.00

Computed, not measured: a relaxed LaZr2Cu crystal at the PBE level of DFT.

## Properties
Electronic total energy in eV/f.u.: -25.2
Formation enthalpy at 0 K in eV per atom: 0.224
Volume in A^3/atom: 23.0

Cell lengths 4.714, 4.418, 4.418 Å; angles 90.00, 90.00, 90.00 degrees
Fractional positions:
Zr 0.000 0.500 0.500
Zr 0.000 0.000 0.000
Cu 0.500 0.500 0.000
La 0.500 0.000 0.500

Computed, not measured: a relaxed AcPuPaO6 crystal at the PBE level of DFT.

## Properties
Electronic total energy in eV/f.u.: -87.7
Volume in A^3/atom: 17.0

Cell lengths 5.271, 5.271, 11.023 Å; angles 90.00, 90.00, 90.00 degrees
Site moments in Bohr magnetons follow the coordinates.
Fractional positions:
O 0.698 0.698 0.315  -0.04
O 0.198 0.802 0.815  -0.04
O 0.829 0.171 0.503  -0.04
O 0.171 0.829 0.503  -0.04
O 0.296 0.296 0.682  -0.04
O 0.302 0.302 0.315  -0.04
O 0.671 0.671 0.003  -0.04
O 0.329 0.329 0.003  -0.04
O 0.704 0.704 0.682  -0.04
O 0.204 0.796 0.182  -0.04
O 0.802 0.198 0.815  -0.04
O 0.796 0.204 0.182  -0.04
Pu 0.000 0.000 0.333  4.18
Pu 0.500 0.500 0.833  4.18
Ac 0.000 0.000 0.001  0.00
Ac 0.500 0.500 0.501  0.00
Pa 0.000 0.000 0.667  0.03
Pa 0.500 0.500 0.167  0.03

Computed, not measured: a relaxed TePbSN2 crystal at the PBE level of DFT.

## Properties
Electronic total energy in eV/f.u.: -22.6
Volume in A^3/atom: 18.0

Cell lengths 4.115, 4.115, 5.327 Å; angles 90.00, 90.00, 90.00 degrees
Fractional positions:
Pb 0.500 0.500 0.500
N 0.000 0.500 0.000
N 0.500 0.000 0.000
Te 0.000 0.000 0.000
S 0.000 0.000 0.500

Computed, not measured: a relaxed Al2GaCu7 crystal at the PBE level of DFT.

## Properties
Electronic total energy in eV/f.u.: -39.4
Formation enthalpy at 0 K in eV per atom: -0.023
Volume in A^3/atom: 14.0

Cell lengths 4.078, 4.078, 9.733 Å; angles 90.00, 90.00, 120.00 degrees
Fractional positions:
Al 0.667 0.333 0.268
Al 0.333 0.667 0.624
Cu 0.333 0.667 0.871
Cu 0.333 0.667 0.126
Cu 0.333 0.667 0.374
Cu 0.000 0.000 0.728
Cu 0.000 0.000 0.462
Cu 0.667 0.333 0.010
Cu 0.667 0.333 0.533
Ga 0.000 0.000 0.988

Computed, not measured: a relaxed Ag3RuI crystal at the PBE level of DFT.

## Properties
Electronic total energy in eV/f.u.: -13.9
Volume in A^3/atom: 27.6

Cell lengths 5.170, 5.170, 5.170 Å; angles 90.00, 90.00, 90.00 degrees
Site moments in Bohr magnetons follow the coordinates.
Fractional positions:
Ag 0.000 0.000 0.500  0.14
Ag 0.500 0.000 0.000  0.00
Ag 0.000 0.500 0.000  0.05
I 0.500 0.500 0.500  0.00
Ru 0.000 0.000 0.000  1.88